A relaxed LaZrNb2Cl crystal. Source: Alexandria, functional PBEsol.

**Formation energy (no corrections)**: 75.92 kJ per mole of atoms
**SG**: P4/mmm, No. 123
**V**: 126.04 Å³ per cell
**Calculated density**: 5.9 g cm⁻³

a b c (Å): 4.950 4.950 5.144
angles (deg): 90.00 90.00 90.00
Element x y z (fractional)
La: 0.500 0.500 0.500
Cl: 0.000 0.000 0.500
Nb: 0.500 0.000 0.000
Nb: 0.000 0.500 0.000
Zr: 0.000 0.000 0.000